Material: ReRu
Method: DFT, PBE
State: optimized geometry Values from VASP.

Cell and atoms, written as Quantum ESPRESSO input:
```
&SYSTEM
  ibrav = 0, nat = 4, ntyp = 2
/
ATOMIC_SPECIES
Ru 101.07 Ru.upf
Re 186.21 Re.upf
CELL_PARAMETERS angstrom
-2.419 1.246 0.437
0.000 -2.901 8.280
2.353 1.354 0.474
ATOMIC_POSITIONS crystal
Ru 0.667 0.749 0.333
Ru 0.000 0.501 0.000
Re 0.000 0.995 0.000
Re 0.667 0.255 0.333
```

Output
As for the space group: No. 164. For the volume, the calculation gives 14.42 A^3/atom. The calculation puts the calculated total energy at -10.8996 eV per atom.

=====

Material: PmYCS
Method: DFT, PBE
State: optimized geometry Values from VASP.

Cell and atoms, written as Quantum ESPRESSO input:
```
&SYSTEM
  ibrav = 0, nat = 4, ntyp = 4
/
ATOMIC_SPECIES
C 12.01 C.upf
Pm 145.00 Pm.upf
Y 88.91 Y.upf
S 32.06 S.upf
CELL_PARAMETERS angstrom
-1.555 -0.940 3.325
2.082 -1.750 2.638
1.914 4.844 4.424
ATOMIC_POSITIONS crystal
C 0.001 0.001 0.996
Pm 0.263 0.263 0.211
Y 0.739 0.739 0.784
S 0.497 0.497 0.510
```

Output
As for the space group: No. 160. For the volume, the calculation gives 20.12 A^3/atom. As for the formation energy without anion corrections: -467 kJ/mol of formula units.

=====

Material: NbAg3Sb
Method: DFT, PBE
State: optimized geometry Values from VASP.

Cell and atoms, written as Quantum ESPRESSO input:
```
&SYSTEM
  ibrav = 0, nat = 5, ntyp = 3
/
ATOMIC_SPECIES
Sb 121.76 Sb.upf
Ag 107.87 Ag.upf
Nb 92.91 Nb.upf
CELL_PARAMETERS angstrom
-3.739 -2.236 -2.735
-1.874 -2.120 4.295
-2.994 4.119 0.727
ATOMIC_POSITIONS crystal
Sb 0.000 0.000 0.000
Ag 0.500 0.000 0.000
Ag 0.000 0.000 0.500
Ag 0.000 0.500 0.000
Nb 0.500 0.500 0.500
```

Output
As for the space group: No. 221. For the volume, the calculation gives 27.22 A^3/atom. As for the formation energy without anion corrections: 561 kJ/mol of formula units.

=====

Material: KGaI2O
Method: DFT, PBE
State: optimized geometry Values from VASP.

Cell and atoms, written as Quantum ESPRESSO input:
```
&SYSTEM
  ibrav = 0, nat = 5, ntyp = 4
/
ATOMIC_SPECIES
O 16.00 O.upf
I 126.90 I.upf
Ga 69.72 Ga.upf
K 39.10 K.upf
CELL_PARAMETERS angstrom
-5.720 -1.758 1.178
0.486 -4.396 -4.200
1.254 -2.341 2.596
ATOMIC_POSITIONS crystal
O 0.000 0.000 0.500
I 0.000 0.500 0.000
I 0.500 0.000 0.000
Ga 0.000 0.000 0.000
K 0.500 0.500 0.500
```

Output
As for the space group: No. 123. For the volume, the calculation gives 27.63 A^3/atom. As for the formation energy without anion corrections: -456 kJ/mol of formula units.

=====

Material: BaPmSn2
Method: DFT, PBE
State: optimized geometry Values from VASP.

Cell and atoms, written as Quantum ESPRESSO input:
```
&SYSTEM
  ibrav = 0, nat = 4, ntyp = 3
/
ATOMIC_SPECIES
Pm 145.00 Pm.upf
Sn 118.71 Sn.upf
Ba 137.33 Ba.upf
CELL_PARAMETERS angstrom
-2.489 -3.182 -1.165
1.784 -0.001 -3.807
5.174 -4.935 2.425
ATOMIC_POSITIONS crystal
Pm 0.500 0.500 0.000
Sn 0.000 0.000 0.199
Sn 0.000 0.000 0.801
Ba 0.500 0.500 0.500
```

Output
As for the space group: No. 123. For the volume, the calculation gives 33.36 A^3/atom. The calculation puts the calculated total energy at -4.3126 eV per atom.

=====

Material: Er8Ga2Ir
Method: DFT, PBE
State: optimized geometry Values from VASP.

Cell and atoms, written as Quantum ESPRESSO input:
```
&SYSTEM
  ibrav = 0, nat = 11, ntyp = 3
/
ATOMIC_SPECIES
Er 167.26 Er.upf
Ir 192.22 Ir.upf
Ga 69.72 Ga.upf
CELL_PARAMETERS angstrom
-1.914 3.601 -2.729
1.695 -3.184 -5.390
-7.491 -5.003 3.063
ATOMIC_POSITIONS crystal
Er 0.589 0.447 0.178
Er 0.348 0.021 0.696
Ir 0.500 0.000 0.000
Er 0.211 0.321 0.422
Er 0.411 0.553 0.822
Er 0.789 0.679 0.578
Ga 0.187 0.756 0.375
Er 0.652 0.979 0.304
Er 0.974 0.216 0.948
Er 0.026 0.784 0.052
Ga 0.813 0.244 0.625
```

Output
As for the space group: No. 12. For the volume, the calculation gives 25.92 A^3/atom. The calculation puts the calculated total energy at -5.0842 eV per atom.

=====

Material: ReSiOs
Method: DFT, PBE
State: optimized geometry Values from VASP.

Cell and atoms, written as Quantum ESPRESSO input:
```
&SYSTEM
  ibrav = 0, nat = 3, ntyp = 3
/
ATOMIC_SPECIES
Os 190.23 Os.upf
Re 186.21 Re.upf
Si 28.09 Si.upf
CELL_PARAMETERS angstrom
-4.626 0.467 -4.854
-5.052 -1.924 -3.522
-1.656 2.131 0.626
ATOMIC_POSITIONS crystal
Os 0.011 0.011 0.989
Re 0.325 0.325 0.675
Si 0.665 0.665 0.335
```

Output
As for the space group: No. 42. For the volume, the calculation gives 14.26 A^3/atom. As for the formation energy without anion corrections: 87 kJ/mol of formula units.

=====

Material: Pm2Nd3HoS6
Method: DFT, PBE
State: optimized geometry Values from VASP.

Cell and atoms, written as Quantum ESPRESSO input:
```
&SYSTEM
  ibrav = 0, nat = 12, ntyp = 4
/
ATOMIC_SPECIES
Nd 144.24 Nd.upf
Ho 164.93 Ho.upf
S 32.06 S.upf
Pm 145.00 Pm.upf
CELL_PARAMETERS angstrom
-5.875 3.663 -0.846
0.119 -5.486 4.305
3.665 4.554 3.822
ATOMIC_POSITIONS crystal
Nd 0.171 0.829 0.500
Ho 0.000 0.000 0.000
S 0.080 0.405 0.241
S 0.405 0.080 0.241
Nd 0.500 0.500 0.500
S 0.243 0.243 0.756
S 0.595 0.920 0.759
S 0.757 0.757 0.244
Nd 0.829 0.171 0.500
S 0.920 0.595 0.759
Pm 0.333 0.667 0.000
Pm 0.667 0.333 0.000
```

Output
As for the space group: No. 12. For the volume, the calculation gives 23.09 A^3/atom. As for the formation energy without anion corrections: -2343 kJ/mol of formula units.

=====

Material: BaPr2Tl2Ag2
Method: DFT, PBE
State: optimized geometry Values from VASP.

Cell and atoms, written as Quantum ESPRESSO input:
```
&SYSTEM
  ibrav = 0, nat = 7, ntyp = 4
/
ATOMIC_SPECIES
Tl 204.38 Tl.upf
Pr 140.91 Pr.upf
Ba 137.33 Ba.upf
Ag 107.87 Ag.upf
CELL_PARAMETERS angstrom
5.081 0.000 0.000
2.540 4.400 0.000
2.540 1.467 9.910
ATOMIC_POSITIONS crystal
Tl 0.251 0.251 0.248
Pr 0.128 0.128 0.616
Tl 0.749 0.749 0.752
Ba 0.000 0.000 0.000
Ag 0.585 0.585 0.246
Pr 0.872 0.872 0.384
Ag 0.415 0.415 0.754
```

Output
As for the space group: No. 166. For the volume, the calculation gives 31.65 A^3/atom. The calculation puts the calculated total energy at -3.3716 eV per atom.

=====

Material: ZnMo2P
Method: DFT, PBE
State: optimized geometry Values from VASP.

Cell and atoms, written as Quantum ESPRESSO input:
```
&SYSTEM
  ibrav = 0, nat = 4, ntyp = 3
/
ATOMIC_SPECIES
Zn 65.41 Zn.upf
P 30.97 P.upf
Mo 95.94 Mo.upf
CELL_PARAMETERS angstrom
-1.685 2.279 3.906
1.685 -2.279 3.906
1.685 2.279 -3.906
ATOMIC_POSITIONS crystal
Zn 0.500 0.000 0.500
P 0.000 0.500 0.500
Mo 0.206 0.206 0.000
Mo 0.794 0.794 0.000
```

Output
As for the space group: No. 71. For the volume, the calculation gives 15.00 A^3/atom. The calculation puts the calculated total energy at -7.0851 eV per atom.

=====

Material: KBBr2
Method: DFT, PBE
State: optimized geometry Values from VASP.

Cell and atoms, written as Quantum ESPRESSO input:
```
&SYSTEM
  ibrav = 0, nat = 4, ntyp = 3
/
ATOMIC_SPECIES
K 39.10 K.upf
Br 79.90 Br.upf
B 10.81 B.upf
CELL_PARAMETERS angstrom
0.463 2.639 4.601
-0.391 5.309 0.074
-4.267 2.325 2.176
ATOMIC_POSITIONS crystal
K 0.500 0.500 0.500
Br 0.250 0.250 0.250
Br 0.750 0.750 0.750
B 0.000 0.000 0.000
```

Output
As for the space group: No. 225. For the volume, the calculation gives 26.68 A^3/atom. As for the formation energy without anion corrections: 72 kJ/mol of formula units.

=====

Material: ZnTeCl6
Method: DFT, PBE
State: optimized geometry Values from VASP.

Cell and atoms, written as Quantum ESPRESSO input:
```
&SYSTEM
  ibrav = 0, nat = 8, ntyp = 3
/
ATOMIC_SPECIES
Cl 35.45 Cl.upf
Te 127.60 Te.upf
Zn 65.41 Zn.upf
CELL_PARAMETERS angstrom
6.254 0.186 -1.159
-1.833 5.962 -3.131
0.233 -1.076 6.891
ATOMIC_POSITIONS crystal
Cl 0.765 0.904 0.627
Cl 0.765 0.627 0.904
Cl 0.257 0.742 0.742
Cl 0.743 0.258 0.258
Cl 0.235 0.373 0.096
Te 0.500 0.500 0.500
Cl 0.235 0.096 0.373
Zn 0.000 0.000 0.000
```

Output
As for the space group: No. 12. For the volume, the calculation gives 29.68 A^3/atom. As for the formation energy without anion corrections: -544 kJ/mol of formula units.

=====

Material: K6H12N
Method: DFT, PBE
State: optimized geometry Values from VASP.

Cell and atoms, written as Quantum ESPRESSO input:
```
&SYSTEM
  ibrav = 0, nat = 19, ntyp = 3
/
ATOMIC_SPECIES
H 1.01 H.upf
N 14.01 N.upf
K 39.10 K.upf
CELL_PARAMETERS angstrom
-5.812 -0.896 -5.429
3.929 -6.949 0.568
-3.444 1.466 7.074
ATOMIC_POSITIONS crystal
H 0.183 0.936 0.046
N 0.000 0.000 0.000
H 0.954 0.817 0.064
K 0.246 0.056 0.415
H 0.273 0.896 0.066
H 0.066 0.273 0.896
H 0.046 0.183 0.936
H 0.934 0.727 0.104
H 0.727 0.104 0.934
H 0.936 0.046 0.183
H 0.104 0.934 0.727
H 0.896 0.066 0.273
K 0.754 0.944 0.585
H 0.064 0.954 0.817
K 0.585 0.754 0.944
K 0.415 0.246 0.056
H 0.817 0.064 0.954
K 0.944 0.585 0.754
K 0.056 0.415 0.246
```

Output
As for the space group: No. 148. For the volume, the calculation gives 21.89 A^3/atom. The calculation puts the calculated total energy at -2.8299 eV per atom.

=====

Material: NdTlGe
Method: DFT, PBE
State: optimized geometry Values from VASP.

Cell and atoms, written as Quantum ESPRESSO input:
```
&SYSTEM
  ibrav = 0, nat = 6, ntyp = 3
/
ATOMIC_SPECIES
Ge 72.64 Ge.upf
Tl 204.38 Tl.upf
Nd 144.24 Nd.upf
CELL_PARAMETERS angstrom
-2.612 -4.061 -1.287
2.351 -4.403 -0.580
-2.584 -3.662 7.101
ATOMIC_POSITIONS crystal
Ge 0.471 0.676 0.382
Tl 0.299 0.334 0.068
Ge 0.529 0.324 0.618
Nd 0.141 0.993 0.724
Nd 0.859 0.007 0.276
Tl 0.701 0.666 0.932
```

Output
As for the space group: No. 12. For the volume, the calculation gives 29.11 A^3/atom. The calculation puts the calculated total energy at -4.2235 eV per atom.

=====

Material: Li3AcSn3
Method: DFT, PBE
State: optimized geometry Values from VASP.

Cell and atoms, written as Quantum ESPRESSO input:
```
&SYSTEM
  ibrav = 0, nat = 14, ntyp = 3
/
ATOMIC_SPECIES
Li 6.94 Li.upf
Ac 227.00 Ac.upf
Sn 118.71 Sn.upf
CELL_PARAMETERS angstrom
6.924 0.000 0.000
3.462 5.996 0.000
3.462 1.999 8.864
ATOMIC_POSITIONS crystal
Li 0.914 0.424 0.417
Ac 0.319 0.319 0.042
Sn 0.188 0.693 0.246
Li 0.086 0.576 0.583
Sn 0.873 0.188 0.246
Sn 0.693 0.873 0.246
Li 0.424 0.245 0.417
Li 0.245 0.914 0.417
Sn 0.812 0.307 0.754
Li 0.576 0.755 0.583
Sn 0.127 0.812 0.754
Ac 0.681 0.681 0.958
Sn 0.307 0.127 0.754
Li 0.755 0.086 0.583
```

Output
As for the space group: No. 148. For the volume, the calculation gives 26.29 A^3/atom. The calculation puts the calculated total energy at -3.4335 eV per atom.

=====

Material: LiPaPS
Method: DFT, PBE
State: optimized geometry Values from VASP.

Cell and atoms, written as Quantum ESPRESSO input:
```
&SYSTEM
  ibrav = 0, nat = 4, ntyp = 4
/
ATOMIC_SPECIES
P 30.97 P.upf
Pa 231.04 Pa.upf
Li 6.94 Li.upf
S 32.06 S.upf
CELL_PARAMETERS angstrom
-3.904 -1.958 -0.519
-1.311 -3.080 2.852
-3.594 1.373 3.221
ATOMIC_POSITIONS crystal
P 0.683 0.683 0.952
Pa 0.445 0.445 0.665
Li 0.945 0.945 0.166
S 0.204 0.204 0.388
```

Output
As for the space group: No. 160. For the volume, the calculation gives 18.12 A^3/atom. As for the formation energy without anion corrections: -407 kJ/mol of formula units.

=====

Material: YEr3Tl
Method: DFT, PBE
State: optimized geometry Values from VASP.

Cell and atoms, written as Quantum ESPRESSO input:
```
&SYSTEM
  ibrav = 0, nat = 10, ntyp = 3
/
ATOMIC_SPECIES
Tl 204.38 Tl.upf
Y 88.91 Y.upf
Er 167.26 Er.upf
CELL_PARAMETERS angstrom
-3.239 -0.239 -3.510
0.016 -4.740 0.308
-10.962 0.407 6.830
ATOMIC_POSITIONS crystal
Tl 0.673 0.750 0.303
Y 0.175 0.250 0.298
Er 0.277 0.750 0.094
Y 0.473 0.750 0.702
Er 0.575 0.250 0.498
Er 0.773 0.250 0.103
Er 0.876 0.750 0.897
Tl 0.976 0.250 0.697
Er 0.073 0.750 0.502
Er 0.371 0.250 0.906
```

Output
As for the space group: No. 63. For the volume, the calculation gives 28.85 A^3/atom. The calculation puts the calculated total energy at -4.6239 eV per atom.

=====

Material: Li2AgC2
Method: DFT, PBE
State: optimized geometry Values from VASP.

Cell and atoms, written as Quantum ESPRESSO input:
```
&SYSTEM
  ibrav = 0, nat = 10, ntyp = 3
/
ATOMIC_SPECIES
Ag 107.87 Ag.upf
C 12.01 C.upf
Li 6.94 Li.upf
CELL_PARAMETERS angstrom
-4.492 -3.664 0.411
2.388 -3.385 -4.077
1.610 -1.709 2.362
ATOMIC_POSITIONS crystal
Ag 0.000 0.000 0.000
C 0.579 0.079 0.000
Li 0.187 0.687 0.500
Li 0.313 0.187 0.500
C 0.421 0.921 0.000
Ag 0.500 0.500 0.000
C 0.921 0.579 0.000
Li 0.687 0.813 0.500
C 0.079 0.421 0.000
Li 0.813 0.313 0.500
```

Output
As for the space group: No. 127. For the volume, the calculation gives 11.25 A^3/atom. The calculation puts the calculated total energy at -4.7498 eV per atom.

=====

Material: Ta5W11
Method: DFT, PBE
State: optimized geometry Values from VASP.

Cell and atoms, written as Quantum ESPRESSO input:
```
&SYSTEM
  ibrav = 0, nat = 16, ntyp = 2
/
ATOMIC_SPECIES
Ta 180.95 Ta.upf
W 183.84 W.upf
CELL_PARAMETERS angstrom
-5.234 3.072 2.154
-1.817 -5.310 3.156
3.280 1.959 5.185
ATOMIC_POSITIONS crystal
Ta 0.751 0.251 0.249
Ta 0.004 0.500 0.503
W 0.002 0.000 0.502
W 0.498 0.500 0.998
Ta 0.751 0.749 0.249
W 0.249 0.749 0.249
W 0.751 0.251 0.751
W 0.248 0.251 0.752
W 0.751 0.749 0.751
Ta 0.496 0.000 0.997
W 0.498 0.500 0.502
W 0.249 0.251 0.249
Ta 0.497 0.000 0.503
W 0.248 0.749 0.752
W 0.003 0.500 0.998
W 0.002 0.000 0.998
```

Output
As for the space group: No. 6. For the volume, the calculation gives 16.69 A^3/atom. The calculation puts the calculated total energy at -12.6929 eV per atom.

=====

Material: CsBi3W
Method: DFT, PBE
State: optimized geometry Values from VASP.

Cell and atoms, written as Quantum ESPRESSO input:
```
&SYSTEM
  ibrav = 0, nat = 5, ntyp = 3
/
ATOMIC_SPECIES
Bi 208.98 Bi.upf
Cs 132.91 Cs.upf
W 183.84 W.upf
CELL_PARAMETERS angstrom
6.062 0.000 0.000
0.000 6.062 0.000
0.000 0.000 6.062
ATOMIC_POSITIONS crystal
Bi 0.500 0.000 0.000
Bi 0.000 0.500 0.000
Cs 0.000 0.000 0.000
W 0.500 0.500 0.500
Bi 0.000 0.000 0.500
```

Output
As for the space group: No. 221. For the volume, the calculation gives 44.55 A^3/atom. The calculation puts the calculated total energy at -2.2762 eV per atom.